(1)
# LiErPb2, optimized geometry, DFT PBE-GGA
data_LiErPb2
_chemical_formula_sum 'Li1 Er1 Pb2'
_cell_length_a 4.795
_cell_length_b 4.795
_cell_length_c 4.400
_cell_angle_alpha 90.00
_cell_angle_beta 90.00
_cell_angle_gamma 90.00
_space_group_name_H-M_alt 'P 4/m m m'
_space_group_IT_number 123
_space_group_name_Hall '-P 4 2'
loop_
_atom_site_label
_atom_site_type_symbol
_atom_site_fract_x
_atom_site_fract_y
_atom_site_fract_z
_atom_site_occupancy
Li1 Li 0.000 0.000 0.000 1
Er1 Er 0.500 0.500 0.000 1
Pb1 Pb 0.000 0.500 0.500 1
# uncorrected energy	-15.40	eV/cell
# crystal system	tetragonal
# formation energy from the elements	-8.68	kcal/mol of atoms

(2)
# Li3ErPb4, optimized geometry, DFT PBE-GGA
data_Li3ErPb4
_chemical_formula_sum 'Li3 Er1 Pb4'
_cell_length_a 4.226
_cell_length_b 4.781
_cell_length_c 9.658
_cell_angle_alpha 90.00
_cell_angle_beta 90.00
_cell_angle_gamma 90.00
_space_group_name_H-M_alt 'P m m m'
_space_group_IT_number 47
_space_group_name_Hall '-P 2 2'
loop_
_atom_site_label
_atom_site_type_symbol
_atom_site_fract_x
_atom_site_fract_y
_atom_site_fract_z
_atom_site_occupancy
Li1 Li 0.000 0.000 0.000 1
Li2 Li 0.000 0.500 0.233 1
Er1 Er 0.000 0.000 0.500 1
Pb1 Pb 0.500 0.000 0.237 1
Pb2 Pb 0.500 0.500 0.000 1
Pb3 Pb 0.500 0.500 0.500 1
# uncorrected energy	-27.55	eV/cell
# crystal system	orthorhombic
# formation energy from the elements	-6.97	kcal/mol of atoms

(3)
# Li2Er3Pb6, optimized geometry, DFT PBE-GGA
data_Li2Er3Pb6
_chemical_formula_sum 'Li4 Er6 Pb12'
_cell_length_a 4.944
_cell_length_b 4.944
_cell_length_c 24.407
_cell_angle_alpha 90.00
_cell_angle_beta 90.00
_cell_angle_gamma 90.00
_space_group_name_H-M_alt 'I 4/m m m'
_space_group_IT_number 139
_space_group_name_Hall '-I 4 2'
loop_
_atom_site_label
_atom_site_type_symbol
_atom_site_fract_x
_atom_site_fract_y
_atom_site_fract_z
_atom_site_occupancy
Li1 Li 0.000 0.000 0.047 1
Er1 Er 0.000 0.000 0.318 1
Er2 Er 0.000 0.000 0.500 1
Pb1 Pb 0.000 0.000 0.192 1
Pb2 Pb 0.000 0.500 0.094 1
# uncorrected energy	-83.05	eV/cell
# crystal system	tetragonal
# formation energy from the elements	-3.69	kcal/mol of atoms

(4)
# LiEr2Pb9, optimized geometry, DFT PBE-GGA
data_LiEr2Pb9
_chemical_formula_sum 'Li1 Er2 Pb9'
_cell_length_a 4.823
_cell_length_b 4.823
_cell_length_c 14.744
_cell_angle_alpha 90.00
_cell_angle_beta 90.00
_cell_angle_gamma 90.00
_space_group_name_H-M_alt 'P 4/m m m'
_space_group_IT_number 123
_space_group_name_Hall '-P 4 2'
loop_
_atom_site_label
_atom_site_type_symbol
_atom_site_fract_x
_atom_site_fract_y
_atom_site_fract_z
_atom_site_occupancy
Li1 Li 0.000 0.000 0.000 1
Er1 Er 0.000 0.000 0.337 1
Pb1 Pb 0.000 0.500 0.163 1
Pb2 Pb 0.000 0.500 0.500 1
Pb3 Pb 0.500 0.500 0.000 1
Pb4 Pb 0.500 0.500 0.330 1
# uncorrected energy	-46.89	eV/cell
# crystal system	tetragonal
# formation energy from the elements	-4.75	kcal/mol of atoms

(5)
# Li2ErPb9, optimized geometry, DFT PBE-GGA
data_Li2ErPb9
_chemical_formula_sum 'Li2 Er1 Pb9'
_cell_length_a 4.792
_cell_length_b 4.792
_cell_length_c 14.902
_cell_angle_alpha 90.00
_cell_angle_beta 90.00
_cell_angle_gamma 90.00
_space_group_name_H-M_alt 'P 4/m m m'
_space_group_IT_number 123
_space_group_name_Hall '-P 4 2'
loop_
_atom_site_label
_atom_site_type_symbol
_atom_site_fract_x
_atom_site_fract_y
_atom_site_fract_z
_atom_site_occupancy
Li1 Li 0.000 0.000 0.167 1
Er1 Er 0.000 0.000 0.500 1
Pb1 Pb 0.000 0.500 0.000 1
Pb2 Pb 0.000 0.500 0.330 1
Pb3 Pb 0.500 0.500 0.164 1
Pb4 Pb 0.500 0.500 0.500 1
# uncorrected energy	-43.70	eV/cell
# crystal system	tetragonal
# formation energy from the elements	-3.71	kcal/mol of atoms

(6)
# LiEr3Pb5, optimized geometry, DFT PBE-GGA
data_LiEr3Pb5
_chemical_formula_sum 'Li2 Er6 Pb10'
_cell_length_a 9.2848
_cell_length_b 9.2848
_cell_length_c 6.4965
_cell_angle_alpha 90.00
_cell_angle_beta 90.00
_cell_angle_gamma 120.00
_space_group_name_H-M_alt 'P 63/m c m'
_space_group_IT_number 193
_space_group_name_Hall '-P 6c 2'
loop_
_atom_site_label
_atom_site_type_symbol
_atom_site_fract_x
_atom_site_fract_y
_atom_site_fract_z
_atom_site_occupancy
Li1 Li 0.0000 0.0000 0.0000 1
Er1 Er 0.0000 0.3837 0.2500 1
Pb1 Pb 0.0000 0.2687 0.7500 1
Pb2 Pb 0.3333 0.6667 0.0000 1
# uncorrected energy	-74.01	eV/cell
# crystal system	hexagonal
# formation energy from the elements	-7.33	kcal/mol of atoms

(7)
# LiErPb6, optimized geometry, DFT PBE-GGA
data_LiErPb6
_chemical_formula_sum 'Li1 Er1 Pb6'
_cell_length_a 4.801
_cell_length_b 4.801
_cell_length_c 9.921
_cell_angle_alpha 90.00
_cell_angle_beta 90.00
_cell_angle_gamma 90.00
_space_group_name_H-M_alt 'P 4/m m m'
_space_group_IT_number 123
_space_group_name_Hall '-P 4 2'
loop_
_atom_site_label
_atom_site_type_symbol
_atom_site_fract_x
_atom_site_fract_y
_atom_site_fract_z
_atom_site_occupancy
Li1 Li 0.000 0.000 0.000 1
Er1 Er 0.000 0.000 0.500 1
Pb1 Pb 0.000 0.500 0.245 1
Pb2 Pb 0.500 0.500 0.000 1
Pb3 Pb 0.500 0.500 0.500 1
# uncorrected energy	-30.17	eV/cell
# crystal system	tetragonal
# formation energy from the elements	-4.17	kcal/mol of atoms

(8)
# Li4Er3Pb4, optimized geometry, DFT PBE-GGA
data_Li4Er3Pb4
_chemical_formula_sum 'Li8 Er6 Pb8'
_cell_length_a 4.629
_cell_length_b 7.234
_cell_length_c 15.120
_cell_angle_alpha 90.00
_cell_angle_beta 90.00
_cell_angle_gamma 90.00
_space_group_name_H-M_alt 'I m m m'
_space_group_IT_number 71
_space_group_name_Hall '-I 2 2'
loop_
_atom_site_label
_atom_site_type_symbol
_atom_site_fract_x
_atom_site_fract_y
_atom_site_fract_z
_atom_site_occupancy
Li1 Li 0.000 0.190 0.175 1
Er1 Er 0.000 0.000 0.375 1
Er2 Er 0.000 0.500 0.500 1
Pb1 Pb 0.000 0.290 0.000 1
Pb2 Pb 0.000 0.500 0.285 1
# uncorrected energy	-81.90	eV/cell
# crystal system	orthorhombic
# formation energy from the elements	-10.01	kcal/mol of atoms

(9)
# LiPmErPb, optimized geometry, DFT PBE-GGA
data_LiPmErPb
_chemical_formula_sum 'Li4 Pm4 Er4 Pb4'
_cell_length_a 7.534
_cell_length_b 7.534
_cell_length_c 7.534
_cell_angle_alpha 90.00
_cell_angle_beta 90.00
_cell_angle_gamma 90.00
_space_group_name_H-M_alt 'F -4 3 m'
_space_group_IT_number 216
_space_group_name_Hall 'F -4 2 3'
loop_
_atom_site_label
_atom_site_type_symbol
_atom_site_fract_x
_atom_site_fract_y
_atom_site_fract_z
_atom_site_occupancy
Li1 Li 0.000 0.000 0.000 1
Pm1 Pm 0.250 0.250 0.750 1
Er1 Er 0.250 0.250 0.250 1
Pb1 Pb 0.000 0.000 0.500 1
# uncorrected energy	-64.16	eV/cell
# crystal system	cubic
# formation energy from the elements	-6.36	kcal/mol of atoms

(10)
# Li2Pr2ErPb2, optimized geometry, DFT PBE-GGA
data_Li2Pr2ErPb2
_chemical_formula_sum 'Li6 Pr6 Er3 Pb6'
_cell_length_a 4.8479
_cell_length_b 4.8479
_cell_length_c 28.0352
_cell_angle_alpha 90.00
_cell_angle_beta 90.00
_cell_angle_gamma 120.00
_space_group_name_H-M_alt 'R -3 m'
_space_group_IT_number 166
_space_group_name_Hall '-R 3 2"'
loop_
_atom_site_label
_atom_site_type_symbol
_atom_site_fract_x
_atom_site_fract_y
_atom_site_fract_z
_atom_site_occupancy
Li1 Li 0.0000 0.0000 0.1081 1
Pr1 Pr 0.0000 0.0000 0.3729 1
Er1 Er 0.0000 0.0000 0.5000 1
Pb1 Pb 0.0000 0.0000 0.2306 1
# uncorrected energy	-82.98	eV/cell
# crystal system	trigonal
# formation energy from the elements	-7.56	kcal/mol of atoms

(11)
# LiErPtPb, optimized geometry, DFT PBE-GGA
data_LiErPtPb
_chemical_formula_sum 'Li4 Er4 Pt4 Pb4'
_cell_length_a 6.796
_cell_length_b 6.796
_cell_length_c 6.796
_cell_angle_alpha 90.00
_cell_angle_beta 90.00
_cell_angle_gamma 90.00
_space_group_name_H-M_alt 'F -4 3 m'
_space_group_IT_number 216
_space_group_name_Hall 'F -4 2 3'
loop_
_atom_site_label
_atom_site_type_symbol
_atom_site_fract_x
_atom_site_fract_y
_atom_site_fract_z
_atom_site_occupancy
Li1 Li 0.000 0.000 0.000 1
Er1 Er 0.250 0.250 0.750 1
Pt1 Pt 0.000 0.000 0.500 1
Pb1 Pb 0.250 0.250 0.250 1
# uncorrected energy	-76.66	eV/cell
# crystal system	cubic
# formation energy from the elements	-16.94	kcal/mol of atoms

(12)
# LiEr3Rh2Pb3, optimized geometry, DFT PBE-GGA
data_LiEr3Rh2Pb3
_chemical_formula_sum 'Li1 Er3 Rh2 Pb3'
_cell_length_a 7.9619
_cell_length_b 7.9619
_cell_length_c 3.5917
_cell_angle_alpha 90.00
_cell_angle_beta 90.00
_cell_angle_gamma 120.00
_space_group_name_H-M_alt 'P -6 2 m'
_space_group_IT_number 189
_space_group_name_Hall 'P -6 -2'
loop_
_atom_site_label
_atom_site_type_symbol
_atom_site_fract_x
_atom_site_fract_y
_atom_site_fract_z
_atom_site_occupancy
Li1 Li 0.0000 0.0000 0.0000 1
Er1 Er 0.0000 0.4031 0.0000 1
Rh1 Rh 0.3333 0.6667 0.5000 1
Pb1 Pb 0.0000 0.7283 0.5000 1
# uncorrected energy	-46.82	eV/cell
# crystal system	hexagonal
# formation energy from the elements	-13.81	kcal/mol of atoms